No. 1
Computed, not measured: HfV2As2 after structural relaxation at the PBE level of DFT.

N(E_F)   1.067 states/eV per atom
Volume   15.89 Å³/atom
DFT total energy   -7.93 eV per atom
Formation enthalpy at 0 K   -0.436 eV per atom
Size of the total moment   0.01 μB/f.u.

Unit cell a=7.0804 b=7.0804 c=3.1700 alpha=90.00 beta=90.00 gamma=90.00
With the nearest neighbours (Å) after each atom.
Atoms (fractional coordinates):
As: 0.3517 0.8517 0.0000  6 V 2.58-2.65, 2 Hf 2.70
As: 0.8517 0.6483 0.0000  6 V 2.58-2.65, 2 Hf 2.70
As: 0.6483 0.1483 0.0000  6 V 2.58-2.65, 2 Hf 2.70
As: 0.1483 0.3517 0.0000  6 V 2.58-2.65, 2 Hf 2.70
Hf: 0.0000 0.0000 0.0000  4 As 2.70
Hf: 0.5000 0.5000 0.0000  4 As 2.70
V: 0.1391 0.6391 0.5000  6 As 2.58-2.65, 1 V 2.79
V: 0.6391 0.8609 0.5000  6 As 2.58-2.65, 1 V 2.79
V: 0.8609 0.3609 0.5000  6 As 2.58-2.65, 1 V 2.79
V: 0.3609 0.1391 0.5000  6 As 2.58-2.65, 1 V 2.79

***

No. 2
Computed, not measured: HfVAs3 after structural relaxation at the PBE level of DFT.

N(E_F)   1.480 states/eV per atom
Volume   26.45 Å³/atom
DFT total energy   -6.05 eV per atom
Formation enthalpy at 0 K   0.558 eV per atom
Size of the total moment   3.06 μB/f.u.

Unit cell a=5.0951 b=5.0951 c=5.0951 alpha=90.00 beta=90.00 gamma=90.00
With the nearest neighbours (Å) after each atom.
Atoms (fractional coordinates):
As: 0.0000 0.5000 0.0000  2 Hf 2.55
As: 0.0000 0.0000 0.5000  2 Hf 2.55
As: 0.5000 0.0000 0.0000  2 Hf 2.55
Hf: 0.0000 0.0000 0.0000  6 As 2.55
V: 0.5000 0.5000 0.5000  12 As 3.60